--- A ---
A PBEsol-optimized structure of KMnAs2. Source: the Alexandria database, functional meta-GGA SCAN.

Properties
As for the total magnetization: 4.23 μB/f.u.

abc: 6.9203 6.9203 6.9203
angles: 90.00 90.00 90.00
Space group F-43m (No. 216)
Unique sites:
K (0.0000, 0.0000, 0.0000) x4
Mn (0.2500, 0.2500, 0.7500) x4
As (0.0000, 0.0000, 0.5000) x4
As (0.2500, 0.2500, 0.2500) x4

=====

--- B ---
A PBEsol-optimized structure of KMnAs2. Source: the Alexandria database, functional meta-GGA SCAN.

Properties
As for the total magnetization: 0.00 μB/f.u.

abc: 5.9499 5.9499 12.5865
angles: 90.00 90.00 90.00
Space group I4_1/amd (No. 141, origin choice 2)
Unique sites:
K (0.0000, 0.2500, 0.3750) x4
Mn (0.0000, 0.2500, 0.8750) x4
As (0.0000, 0.0000, 0.0000) x8

=====

--- C ---
A PBEsol-optimized structure of KMnAs2. Source: the Alexandria database, functional meta-GGA SCAN.

Properties
As for the total magnetization: 2.99 μB/f.u.

abc: 2.9604 3.6650 8.2803
angles: 90.00 90.00 90.00
Space group Pmm2 (No. 25)
Unique sites:
K (0.0000, 0.0000, 0.0000) x1
Mn (0.5000, 0.5000, 0.4539) x1
As (0.0000, 0.0000, 0.3810) x1
As (0.5000, 0.5000, 0.7295) x1

=====

--- D ---
A PBEsol-optimized structure of KMnAs2. Source: the Alexandria database, functional meta-GGA SCAN.

Properties
As for the total magnetization: 4.47 μB/f.u.

abc: 6.4173 8.7616 2.8462
angles: 90.00 90.00 90.00
Space group Cmmm (No. 65)
Unique sites:
K (0.0000, 0.0000, 0.0000) x2
Mn (0.0000, 0.5000, 0.0000) x2
As (0.2500, 0.2500, 0.5000) x4

=====

Relative stability in meV per atom, measured from the most stable structure: A 529; B 0; C 75; D 244

=====

--- A ---
A PBEsol-optimized structure of KAs2Rh. Source: the Alexandria database, functional meta-GGA SCAN.

Properties
As for the total magnetization: 0.00 μB/f.u.

abc: 3.3624 3.3624 7.4519
angles: 90.00 90.00 90.00
Space group P4mm (No. 99)
Unique sites:
K (0.0000, 0.0000, 0.0000) x1
As (0.0000, 0.0000, 0.4614) x1
As (0.5000, 0.5000, 0.6886) x1
Rh (0.5000, 0.5000, 0.3562) x1

=====

--- B ---
A PBEsol-optimized structure of KAs2Rh. Source: the Alexandria database, functional meta-GGA SCAN.

Properties
As for the total magnetization: 0.00 μB/f.u.

abc: 3.1071 3.1071 7.9150
angles: 90.00 90.00 90.00
Space group P4/mmm (No. 123)
Unique sites:
K (0.0000, 0.0000, 0.0000) x1
As (0.5000, 0.5000, 0.3168) x2
Rh (0.0000, 0.0000, 0.5000) x1

=====

Relative stability in meV per atom, measured from the most stable structure: A 258; B 0

=====

--- A ---
A PBEsol-optimized structure of KSbAs. Source: the Alexandria database, functional meta-GGA SCAN.

Properties
As for the total magnetization: 0.00 μB/f.u.

abc: 3.7592 3.7592 12.0503
angles: 90.00 90.00 90.00
Space group I4mm (No. 107)
Unique sites:
K (0.0000, 0.0000, 0.0000) x2
Sb (0.0000, 0.0000, 0.7130) x2
As (0.0000, 0.0000, 0.2964) x2

=====

--- B ---
A PBEsol-optimized structure of KSbAs. Source: the Alexandria database, functional meta-GGA SCAN.

Properties
As for the total magnetization: 0.00 μB/f.u.

abc: 5.2351 5.2351 3.3290
angles: 90.00 90.00 120.00
Space group P-6m2 (No. 187)
Unique sites:
K (0.0000, 0.0000, 0.0000) x1
Sb (0.3333, 0.6667, 0.5000) x1
As (0.6667, 0.3333, 0.5000) x1

=====

Relative stability in meV per atom, measured from the most stable structure: A 0; B 260

=====

--- A ---
A PBEsol-optimized structure of K2AsSe. Source: the Alexandria database, functional meta-GGA SCAN.

Properties
As for the total magnetization: 0.00 μB/f.u.

abc: 6.1138 6.1138 2.8513
angles: 90.00 90.00 90.00
Space group P4/mmm (No. 123)
Unique sites:
K (0.0000, 0.5000, 0.0000) x2
As (0.0000, 0.0000, 0.5000) x1
Se (0.5000, 0.5000, 0.5000) x1

=====

--- B ---
A PBEsol-optimized structure of K2AsSe. Source: the Alexandria database, functional meta-GGA SCAN.

Properties
As for the total magnetization: 0.00 μB/f.u.

abc: 4.5095 4.5095 9.8137
angles: 90.00 90.00 90.00
Space group I4/mmm (No. 139)
Unique sites:
K (0.0000, 0.5000, 0.2500) x4
As (0.0000, 0.0000, 0.0000) x2
Se (0.0000, 0.0000, 0.5000) x2

=====

Relative stability in meV per atom, measured from the most stable structure: A 0; B 27

=====

--- A ---
A PBEsol-optimized structure of K2TlAs. Source: the Alexandria database, functional meta-GGA SCAN.

Properties
As for the total magnetization: 0.00 μB/f.u.

abc: 4.2118 5.5671 11.0830
angles: 90.00 90.00 90.00
Space group Imm2 (No. 44)
Unique sites:
K (0.0000, 0.0000, 0.0000) x2
K (0.0000, 0.5000, 0.1860) x2
Tl (0.0000, 0.0000, 0.4042) x2
As (0.0000, 0.5000, 0.7422) x2

=====

--- B ---
A PBEsol-optimized structure of K2TlAs. Source: the Alexandria database, functional meta-GGA SCAN.

Properties
As for the total magnetization: 0.00 μB/f.u.

abc: 4.3194 5.1411 12.5683
angles: 90.00 90.00 90.00
Space group Amm2 (No. 38)
Unique sites:
K (0.0000, 0.0000, 0.0000) x2
K (0.5000, 0.0000, 0.2973) x2
Tl (0.0000, 0.0000, 0.7054) x2
As (0.5000, 0.0000, 0.5692) x2

=====

Relative stability in meV per atom, measured from the most stable structure: A 8; B 0

=====

--- A ---
A PBEsol-optimized structure of KTl2As. Source: the Alexandria database, functional meta-GGA SCAN.

Properties
As for the total magnetization: 0.00 μB/f.u.

abc: 4.4462 4.4462 22.5475
angles: 90.00 90.00 120.00
Space group R-3m (No. 166, hexagonal axes)
Unique sites:
K (0.0000, 0.0000, 0.0000) x3
Tl (0.0000, 0.0000, 0.2281) x6
As (0.0000, 0.0000, 0.5000) x3

=====

--- B ---
A PBEsol-optimized structure of KTl2As. Source: the Alexandria database, functional meta-GGA SCAN.

Properties
As for the total magnetization: 0.01 μB/f.u.

abc: 6.3803 9.5131 4.2846
angles: 90.00 90.00 90.00
Space group Cmmm (No. 65)
Unique sites:
K (0.0000, 0.0000, 0.0000) x2
Tl (0.0000, 0.3065, 0.5000) x4
As (0.0000, 0.5000, 0.0000) x2

=====

Relative stability in meV per atom, measured from the most stable structure: A 27; B 0

=====

--- A ---
A PBEsol-optimized structure of KTl2As. Source: the Alexandria database, functional meta-GGA SCAN.

Properties
As for the total magnetization: 0.00 μB/f.u.

abc: 3.9330 3.9330 7.5610
angles: 90.00 90.00 90.00
Space group P4mm (No. 99)
Unique sites:
K (0.0000, 0.0000, 0.0000) x1
Tl (0.0000, 0.0000, 0.5533) x1
Tl (0.5000, 0.5000, 0.3217) x1
As (0.5000, 0.5000, 0.7032) x1

=====

--- B ---
A PBEsol-optimized structure of KTl2As. Source: the Alexandria database, functional meta-GGA SCAN.

Properties
As for the total magnetization: 0.00 μB/f.u.

abc: 3.4024 5.8649 11.4297
angles: 90.00 90.00 90.00
Space group Immm (No. 71)
Unique sites:
K (0.0000, 0.0000, 0.0000) x2
Tl (0.0000, 0.5000, 0.2101) x4
As (0.0000, 0.0000, 0.5000) x2

=====

Relative stability in meV per atom, measured from the most stable structure: A 61; B 0

=====

--- A ---
A PBEsol-optimized structure of KTl2As. Source: the Alexandria database, functional meta-GGA SCAN.

Properties
As for the total magnetization: 0.00 μB/f.u.

abc: 5.3897 5.3897 7.5606
angles: 90.00 90.00 90.00
Space group I4/mmm (No. 139)
Unique sites:
K (0.0000, 0.0000, 0.0000) x2
Tl (0.0000, 0.5000, 0.2500) x4
As (0.0000, 0.0000, 0.5000) x2

=====

--- B ---
A PBEsol-optimized structure of KTl2As. Source: the Alexandria database, functional meta-GGA SCAN.

Properties
As for the total magnetization: 0.00 μB/f.u.

abc: 6.3772 10.7867 3.1727
angles: 90.00 90.00 90.00
Space group Cmmm (No. 65)
Unique sites:
K (0.0000, 0.0000, 0.0000) x2
Tl (0.2500, 0.2500, 0.5000) x4
As (0.0000, 0.5000, 0.0000) x2

=====

Relative stability in meV per atom, measured from the most stable structure: A 0; B 162

=====

--- A ---
A PBEsol-optimized structure of KTlAs. Source: the Alexandria database, functional meta-GGA SCAN.

Properties
As for the total magnetization: 0.00 μB/f.u.

abc: 7.1892 7.1892 7.1892
angles: 90.00 90.00 90.00
Space group F-43m (No. 216)
Unique sites:
K (0.0000, 0.0000, 0.0000) x4
Tl (0.2500, 0.2500, 0.7500) x4
As (0.0000, 0.0000, 0.5000) x4

=====

--- B ---
A PBEsol-optimized structure of KTlAs. Source: the Alexandria database, functional meta-GGA SCAN.

Properties
As for the total magnetization: 0.00 μB/f.u.

abc: 5.3633 5.3633 3.1187
angles: 90.00 90.00 120.00
Space group P3m1 (No. 156)
Unique sites:
K (0.0000, 0.0000, 0.0000) x1
Tl (0.3333, 0.6667, 0.5058) x1
As (0.6667, 0.3333, 0.4970) x1

=====

Relative stability in meV per atom, measured from the most stable structure: A 74; B 0

=====

--- A ---
A PBEsol-optimized structure of LiLaAs. Source: the Alexandria database, functional meta-GGA SCAN.

Properties
As for the total magnetization: 0.66 μB/f.u.

abc: 4.0844 4.0844 8.2883
angles: 90.00 90.00 90.00
Space group I4mm (No. 107)
Unique sites:
Li (0.0000, 0.0000, 0.0000) x2
La (0.0000, 0.0000, 0.3408) x2
As (0.0000, 0.0000, 0.6970) x2

=====

--- B ---
A PBEsol-optimized structure of LiLaAs. Source: the Alexandria database, functional meta-GGA SCAN.

Properties
As for the total magnetization: 0.93 μB/f.u.

abc: 4.2527 4.2527 4.1533
angles: 90.00 90.00 120.00
Space group P-6m2 (No. 187)
Unique sites:
Li (0.0000, 0.0000, 0.0000) x1
La (0.6667, 0.3333, 0.5000) x1
As (0.3333, 0.6667, 0.0000) x1

=====

Relative stability in meV per atom, measured from the most stable structure: A 454; B 0

=====

--- A ---
A PBEsol-optimized structure of LiLaAs2. Source: the Alexandria database, functional meta-GGA SCAN.

Properties
As for the total magnetization: 0.00 μB/f.u.

abc: 4.8732 5.5519 6.1619
angles: 90.00 90.00 90.00
Space group Cmmm (No. 65)
Unique sites:
Li (0.0000, 0.0000, 0.0000) x2
La (0.0000, 0.0000, 0.5000) x2
As (0.0000, 0.5000, 0.2041) x4

=====

--- B ---
A PBEsol-optimized structure of LiLaAs2. Source: the Alexandria database, functional meta-GGA SCAN.

Properties
As for the total magnetization: 0.00 μB/f.u.

abc: 4.5906 4.5906 4.0659
angles: 90.00 90.00 90.00
Space group P4/mmm (No. 123)
Unique sites:
Li (0.0000, 0.0000, 0.0000) x1
La (0.5000, 0.5000, 0.0000) x1
As (0.0000, 0.5000, 0.5000) x2

=====

Relative stability in meV per atom, measured from the most stable structure: A 53; B 0

=====

--- A ---
A PBEsol-optimized structure of La2AsPb. Source: the Alexandria database, functional meta-GGA SCAN.

Properties
As for the total magnetization: 0.00 μB/f.u.

abc: 4.5040 4.5040 11.0069
angles: 90.00 90.00 90.00
Space group I-4m2 (No. 119)
Unique sites:
La (0.0000, 0.0000, 0.0000) x2
La (0.0000, 0.5000, 0.2500) x2
As (0.0000, 0.5000, 0.7500) x2
Pb (0.0000, 0.0000, 0.5000) x2

=====

--- B ---
A PBEsol-optimized structure of La2AsPb. Source: the Alexandria database, functional meta-GGA SCAN.

Properties
As for the total magnetization: 0.00 μB/f.u.

abc: 7.6581 7.6581 7.6581
angles: 90.00 90.00 90.00
Space group Fm-3m (No. 225)
Unique sites:
La (0.2500, 0.2500, 0.2500) x8
As (0.0000, 0.0000, 0.0000) x4
Pb (0.0000, 0.0000, 0.5000) x4

=====

--- C ---
A PBEsol-optimized structure of La2AsPb. Source: the Alexandria database, functional meta-GGA SCAN.

Properties
As for the total magnetization: 0.00 μB/f.u.

abc: 4.2419 4.2419 24.0824
angles: 90.00 90.00 120.00
Space group R-3m (No. 166, hexagonal axes)
Unique sites:
La (0.0000, 0.0000, 0.2393) x6
As (0.0000, 0.0000, 0.5000) x3
Pb (0.0000, 0.0000, 0.0000) x3

=====

Relative stability in meV per atom, measured from the most stable structure: A 301; B 331; C 0